VASP calculation (SCAN) on a crystal of Bi4Te3S3 relaxed with PBEsol.

Structure (CIF):
```
data_Bi4Te3S3
_cell_length_a 19.4865
_cell_length_b 19.4865
_cell_length_c 19.4865
_cell_angle_alpha 12.30
_cell_angle_beta 12.30
_cell_angle_gamma 12.30
_symmetry_space_group_name_H-M 'P 1'
_symmetry_Int_Tables_number 1
_symmetry_space_group_name_Hall 'P 1'
loop_
_atom_site_label
_atom_site_fract_x
_atom_site_fract_y
_atom_site_fract_z
_atom_site_occupancy
Bi1 0.0000 0.0000 0.0000 1
Bi2 0.1007 0.1007 0.1007 1
Bi3 0.4942 0.4942 0.4942 1
Bi4 0.6067 0.6067 0.6067 1
Te1 0.1923 0.1923 0.1923 1
Te2 0.6978 0.6978 0.6978 1
Te3 0.9085 0.9085 0.9085 1
S1 0.3028 0.3028 0.3028 1
S2 0.4106 0.4106 0.4106 1
S3 0.7973 0.7973 0.7973 1
```

- crystal system = trigonal
- formation energy (no corrections) (meV/atom) = -232

VASP calculation (SCAN) on a crystal of BiTe2S relaxed with PBEsol.

Structure (CIF):
```
data_BiTe2S
_cell_length_a 9.5139
_cell_length_b 9.5139
_cell_length_c 9.5139
_cell_angle_alpha 146.81
_cell_angle_beta 146.81
_cell_angle_gamma 47.64
_symmetry_space_group_name_H-M 'P 1'
_symmetry_Int_Tables_number 1
_symmetry_space_group_name_Hall 'P 1'
loop_
_atom_site_label
_atom_site_fract_x
_atom_site_fract_y
_atom_site_fract_z
_atom_site_occupancy
Bi1 0.0000 0.0000 0.0000 1
Bi2 0.7500 0.2500 0.5000 1
Te1 0.1842 0.6250 0.0592 1
Te2 0.3750 0.4342 0.5592 1
Te3 0.5658 0.1250 0.9408 1
Te4 0.8750 0.8158 0.4408 1
S1 0.2500 0.7500 0.5000 1
S2 0.5000 0.5000 0.0000 1
```

- crystal system = tetragonal
- distance to the lowest polymorph of the same formula (eV per formula unit) = 0.00
- N(E_F) (states/eV per cell) = 4.60
- formation energy (no corrections) (meV/atom) = 285

VASP calculation (SCAN) on a crystal of BiTe2S relaxed with PBEsol.

Structure (CIF):
```
data_BiTe2S
_cell_length_a 5.2127
_cell_length_b 5.2127
_cell_length_c 5.2127
_cell_angle_alpha 60.00
_cell_angle_beta 60.00
_cell_angle_gamma 60.00
_symmetry_space_group_name_H-M 'P 1'
_symmetry_Int_Tables_number 1
_symmetry_space_group_name_Hall 'P 1'
loop_
_atom_site_label
_atom_site_fract_x
_atom_site_fract_y
_atom_site_fract_z
_atom_site_occupancy
Bi1 0.0000 0.0000 0.0000 1
Te1 0.2500 0.2500 0.2500 1
Te2 0.7500 0.7500 0.7500 1
S1 0.5000 0.5000 0.5000 1
```

- crystal system = cubic
- distance to the lowest polymorph of the same formula (eV per formula unit) = 0.40
- N(E_F) (states/eV per cell) = 2.53
- formation energy (no corrections) (meV/atom) = 386

VASP calculation (SCAN) on a crystal of Bi2TeS relaxed with PBEsol.

Structure (CIF):
```
data_Bi2TeS
_cell_length_a 6.6932
_cell_length_b 6.6932
_cell_length_c 6.6932
_cell_angle_alpha 106.85
_cell_angle_beta 106.85
_cell_angle_gamma 114.84
_symmetry_space_group_name_H-M 'P 1'
_symmetry_Int_Tables_number 1
_symmetry_space_group_name_Hall 'P 1'
loop_
_atom_site_label
_atom_site_fract_x
_atom_site_fract_y
_atom_site_fract_z
_atom_site_occupancy
Bi1 0.0978 0.6250 0.9728 1
Bi2 0.3750 0.3478 0.4728 1
Bi3 0.6522 0.1250 0.0272 1
Bi4 0.8750 0.9022 0.5272 1
Te1 0.2500 0.7500 0.5000 1
Te2 0.5000 0.5000 0.0000 1
S1 0.0000 0.0000 0.0000 1
S2 0.7500 0.2500 0.5000 1
```

- crystal system = tetragonal
- N(E_F) (states/eV per cell) = 3.25
- formation energy (no corrections) (meV/atom) = 57

VASP calculation (SCAN) on a crystal of Bi3Te2S relaxed with PBEsol.

Structure (CIF):
```
data_Bi3Te2S
_cell_length_a 4.3076
_cell_length_b 4.3076
_cell_length_c 23.3932
_cell_angle_alpha 90.00
_cell_angle_beta 90.00
_cell_angle_gamma 120.00
_symmetry_space_group_name_H-M 'P 1'
_symmetry_Int_Tables_number 1
_symmetry_space_group_name_Hall 'P 1'
loop_
_atom_site_label
_atom_site_fract_x
_atom_site_fract_y
_atom_site_fract_z
_atom_site_occupancy
Bi1 0.0000 0.0000 0.1044 1
Bi2 0.0000 0.0000 0.8956 1
Bi3 0.3333 0.6667 0.2796 1
Bi4 0.3333 0.6667 0.5370 1
Bi5 0.6667 0.3333 0.4630 1
Bi6 0.6667 0.3333 0.7204 1
Te1 0.0000 0.0000 0.3562 1
Te2 0.0000 0.0000 0.6438 1
Te3 0.3333 0.6667 0.8071 1
Te4 0.6667 0.3333 0.1929 1
S1 0.3333 0.6667 0.0519 1
S2 0.6667 0.3333 0.9481 1
```

- crystal system = trigonal
- N(E_F) (states/eV per cell) = 0.39
- formation energy (no corrections) (meV/atom) = -132

VASP calculation (SCAN) on a crystal of TiBiS2 relaxed with PBEsol.

Structure (CIF):
```
data_TiBiS2
_cell_length_a 3.3840
_cell_length_b 3.3840
_cell_length_c 8.7285
_cell_angle_alpha 101.23
_cell_angle_beta 101.23
_cell_angle_gamma 60.01
_symmetry_space_group_name_H-M 'P 1'
_symmetry_Int_Tables_number 1
_symmetry_space_group_name_Hall 'P 1'
loop_
_atom_site_label
_atom_site_fract_x
_atom_site_fract_y
_atom_site_fract_z
_atom_site_occupancy
Ti1 0.0000 0.0000 0.0000 1
Bi1 0.5000 0.5000 0.5000 1
S1 0.3896 0.3896 0.1686 1
S2 0.6104 0.6104 0.8314 1
```

- crystal system = monoclinic
- N(E_F) (states/eV per cell) = 2.34
- formation energy (no corrections) (meV/atom) = -1053

VASP calculation (SCAN) on a crystal of Tl4Bi2S5 relaxed with PBEsol.

Structure (CIF):
```
data_Tl4Bi2S5
_cell_length_a 16.5899
_cell_length_b 4.0672
_cell_length_c 17.2219
_cell_angle_alpha 90.00
_cell_angle_beta 90.00
_cell_angle_gamma 90.00
_symmetry_space_group_name_H-M 'P 1'
_symmetry_Int_Tables_number 1
_symmetry_space_group_name_Hall 'P 1'
loop_
_atom_site_label
_atom_site_fract_x
_atom_site_fract_y
_atom_site_fract_z
_atom_site_occupancy
Tl1 0.0750 0.2500 0.0823 1
Tl2 0.1833 0.7500 0.9331 1
Tl3 0.1845 0.7500 0.2314 1
Tl4 0.1976 0.7500 0.5804 1
Tl5 0.3024 0.2500 0.0804 1
Tl6 0.3155 0.2500 0.7314 1
Tl7 0.3167 0.2500 0.4331 1
Tl8 0.4250 0.7500 0.5823 1
Tl9 0.5750 0.2500 0.4177 1
Tl10 0.6833 0.7500 0.5669 1
Tl11 0.6845 0.7500 0.2686 1
Tl12 0.6976 0.7500 0.9196 1
Tl13 0.8024 0.2500 0.4196 1
Tl14 0.8155 0.2500 0.7686 1
Tl15 0.8167 0.2500 0.0669 1
Tl16 0.9250 0.7500 0.9177 1
Bi1 0.0594 0.2500 0.4125 1
Bi2 0.0706 0.2500 0.7564 1
Bi3 0.4294 0.7500 0.2564 1
Bi4 0.4406 0.7500 0.9125 1
Bi5 0.5594 0.2500 0.0875 1
Bi6 0.5706 0.2500 0.7436 1
Bi7 0.9294 0.7500 0.2436 1
Bi8 0.9406 0.7500 0.5875 1
S1 0.0474 0.2500 0.2563 1
S2 0.0480 0.2500 0.9097 1
S3 0.0680 0.2500 0.5826 1
S4 0.1694 0.7500 0.4020 1
S5 0.1845 0.7500 0.7662 1
S6 0.3155 0.2500 0.2662 1
S7 0.3306 0.2500 0.9020 1
S8 0.4320 0.7500 0.0826 1
S9 0.4520 0.7500 0.4097 1
S10 0.4526 0.7500 0.7563 1
S11 0.5474 0.2500 0.2437 1
S12 0.5480 0.2500 0.5903 1
S13 0.5680 0.2500 0.9174 1
S14 0.6694 0.7500 0.0980 1
S15 0.6845 0.7500 0.7338 1
S16 0.8155 0.2500 0.2338 1
S17 0.8306 0.2500 0.5980 1
S18 0.9320 0.7500 0.4174 1
S19 0.9520 0.7500 0.0903 1
S20 0.9526 0.7500 0.7437 1
```

- crystal system = orthorhombic
- formation energy (no corrections) (meV/atom) = -404

VASP calculation (SCAN) on a crystal of YBiS2 relaxed with PBEsol.

Structure (CIF):
```
data_YBiS2
_cell_length_a 6.3099
_cell_length_b 6.3099
_cell_length_c 6.3099
_cell_angle_alpha 107.52
_cell_angle_beta 107.52
_cell_angle_gamma 113.45
_symmetry_space_group_name_H-M 'P 1'
_symmetry_Int_Tables_number 1
_symmetry_space_group_name_Hall 'P 1'
loop_
_atom_site_label
_atom_site_fract_x
_atom_site_fract_y
_atom_site_fract_z
_atom_site_occupancy
Y1 0.0000 0.0000 0.0000 1
Y2 0.7500 0.2500 0.5000 1
Bi1 0.2500 0.7500 0.5000 1
Bi2 0.5000 0.5000 0.0000 1
S1 0.1051 0.6250 0.9801 1
S2 0.3750 0.3551 0.4801 1
S3 0.6449 0.1250 0.0199 1
S4 0.8750 0.8949 0.5199 1
```

- crystal system = tetragonal
- N(E_F) (states/eV per cell) = 0.90
- formation energy (no corrections) (meV/atom) = -1028

VASP calculation (SCAN) on a crystal of YBiS2 relaxed with PBEsol.

Structure (CIF):
```
data_YBiS2
_cell_length_a 8.6935
_cell_length_b 8.6935
_cell_length_c 8.6935
_cell_angle_alpha 26.58
_cell_angle_beta 26.58
_cell_angle_gamma 26.58
_symmetry_space_group_name_H-M 'P 1'
_symmetry_Int_Tables_number 1
_symmetry_space_group_name_Hall 'P 1'
loop_
_atom_site_label
_atom_site_fract_x
_atom_site_fract_y
_atom_site_fract_z
_atom_site_occupancy
Y1 0.0000 0.0000 0.0000 1
Bi1 0.5000 0.5000 0.5000 1
S1 0.1047 0.1047 0.1047 1
S2 0.8953 0.8953 0.8953 1
```

- crystal system = trigonal
- N(E_F) (states/eV per cell) = 0.90
- formation energy (no corrections) (meV/atom) = -510

VASP calculation (SCAN) on a crystal of ZnBiS2 relaxed with PBEsol.

Structure (CIF):
```
data_ZnBiS2
_cell_length_a 7.2209
_cell_length_b 7.2209
_cell_length_c 7.2209
_cell_angle_alpha 36.68
_cell_angle_beta 36.68
_cell_angle_gamma 36.68
_symmetry_space_group_name_H-M 'P 1'
_symmetry_Int_Tables_number 1
_symmetry_space_group_name_Hall 'P 1'
loop_
_atom_site_label
_atom_site_fract_x
_atom_site_fract_y
_atom_site_fract_z
_atom_site_occupancy
Zn1 0.0000 0.0000 0.0000 1
Bi1 0.5000 0.5000 0.5000 1
S1 0.1064 0.1064 0.1064 1
S2 0.8936 0.8936 0.8936 1
```

- crystal system = trigonal
- N(E_F) (states/eV per cell) = 1.64
- formation energy (no corrections) (meV/atom) = -76

Raw total energy values (in eV per cell) by entry order: -457.27, -323.14, -161.17, -407.62, -641.32, -118.08, -1996.69, -259.58, -127.72, -111.66.
Magnetization values (in μB/atom) by entry order: 0.00, 0.00, 0.00, 0.00, 0.00, 0.00, 0.00, 0.00, 0.00, 0.00.